This record from the Open Quantum Materials Database describes a relaxed LiNdZn6 crystal. The functional is PBE-GGA.

```
LiNdZn6
1.0
-2.8115 3.4408 0.6094
-1.8507 -2.1297 3.4863
4.5240 2.9518 4.2047
Zn Li Nd
6 1 1
direct
0.5000 0.0000 0.7120
0.5000 0.5000 0.5000
0.0000 0.5000 0.7120
0.0000 0.5000 0.2880
0.5000 0.0000 0.2880
0.0000 0.0000 0.0000
0.0000 0.0000 0.5000
0.5000 0.5000 0.0000
```

Output
Its symmetry is P4/mmm, No. 123. Its total energy is -15.9 eV per cell. Its total moment is 0.0 Bohr magnetons per cell.

---

This record from the Open Quantum Materials Database describes a relaxed Pu2Sn crystal. The functional is PBE-GGA.

```
Pu2Sn
1.0
4.9710 2.8700 8.1176
-4.9710 2.8700 8.1176
0.0000 -5.7400 8.1176
Sn Pu
2 4
direct
0.5000 0.5000 0.5000
0.2500 0.2500 0.2500
0.3750 0.8750 0.3750
0.3750 0.3750 0.8750
0.3750 0.3750 0.3750
0.8750 0.3750 0.3750
```

Output
Its symmetry is Fd-3m, No. 227. Its total energy is -55.6 eV per cell. Its total moment is 23.7 Bohr magnetons per cell.

---

This record from the Open Quantum Materials Database describes a relaxed WSe2 crystal. The functional is PBE-GGA.

```
WSe2
1.0
-5.8766 -1.9736 -0.8446
1.5115 -5.5527 2.4586
-1.5263 2.1067 5.6965
Se W
8 4
direct
0.6377 0.3622 0.6379
0.3623 0.6378 0.3621
0.1377 0.1378 0.3621
0.8623 0.6378 0.1379
0.8623 0.8622 0.6379
0.1377 0.3622 0.8621
0.3623 0.8622 0.8621
0.6377 0.1378 0.1379
0.5000 0.5000 0.0000
0.0000 0.5000 0.5000
0.0000 0.0000 0.0000
0.5000 0.0000 0.5000
```

Output
Its symmetry is Pa-3, No. 205. Its total energy is -78.8 eV per cell. Its total moment is 6.4 Bohr magnetons per cell.

---

Number 1: density 6.6 Mg/m³. Number 2: density 2.9 Mg/m³. Number 3: density 9.3 Mg/m³.